(one)
Density functional theory data (GGA-PBEsol) for a relaxed structure of LiFe2P2HO8.

a = 8.3963 Å, b = 4.7923 Å, c = 15.1040 Å
α = 90.00°, β = 95.25°, γ = 90.00°
Closest atoms and distances in Å follow each position.
Space group P2/c (No. 13)
One atom of each set of equivalent atoms:
Li1 0.0000 0.0796 0.2500 (multiplicity 2)  2 O 1.94
Li2 0.5000 0.1214 0.7500 (multiplicity 2)  2 O 1.94
Fe1 0.0740 0.2184 0.0010 (multiplicity 4)  6 O 2.03-2.15
Fe2 0.4277 0.2223 0.0012 (multiplicity 4)  6 O 2.05-2.15
P1 0.2306 0.2614 0.3901 (multiplicity 4)  4 O 1.54-1.56
P2 0.2690 0.2808 0.6195 (multiplicity 4)  4 O 1.53-1.57
H1 0.2546 0.4875 0.2508 (multiplicity 4)  1 O 1.11
O1 0.0840 0.4081 0.4249 (multiplicity 4)  1 P 1.55
O2 0.1127 0.1120 0.5969 (multiplicity 4)  1 P 1.55
O3 0.2042 0.2530 0.2875 (multiplicity 4)  1 H 1.34
O4 0.2380 0.0436 0.9264 (multiplicity 4)  1 P 1.56
O5 0.2621 0.4268 0.0779 (multiplicity 4)  1 P 1.53
O6 0.2980 0.3154 0.7233 (multiplicity 4)  1 H 1.11
O7 0.3900 0.4095 0.4205 (multiplicity 4)  1 P 1.55
O8 0.4171 0.1089 0.5961 (multiplicity 4)  1 P 1.56

Crystal system   monoclinic
Magnetization   32.0 Bohr magnetons per cell

(two)
Density functional theory data (GGA-PBEsol) for a relaxed structure of LiFe2P2HO8.

a = 4.9845 Å, b = 8.2807 Å, c = 7.6717 Å
α = 90.00°, β = 102.51°, γ = 90.00°
Closest atoms and distances in Å follow each position.
Space group P2_1 (No. 4)
One atom of each set of equivalent atoms:
Li1 0.2479 0.0000 0.2497 (multiplicity 2)  6 O 2.08-2.30
Fe1 0.1059 0.6597 0.0664 (multiplicity 2)  4 O 1.94-2.04
Fe2 0.3954 0.3434 0.4279 (multiplicity 2)  4 O 1.94-2.03
P1 0.1001 0.6497 0.4688 (multiplicity 2)  4 O 1.53-1.60
P2 0.3974 0.3547 0.0313 (multiplicity 2)  4 O 1.53-1.59
H1 0.2454 0.0075 0.7498 (multiplicity 2)  2 O 1.16-1.25
O1 0.0323 0.0707 0.7207 (multiplicity 2)  1 H 1.16
O2 0.1251 0.1737 0.4257 (multiplicity 2)  1 P 1.53
O3 0.1686 0.4658 0.9297 (multiplicity 2)  1 P 1.54
O4 0.2285 0.8092 0.4232 (multiplicity 2)  1 P 1.54
O5 0.2720 0.1948 0.0798 (multiplicity 2)  1 P 1.54
O6 0.3252 0.5347 0.5661 (multiplicity 2)  1 P 1.54
O7 0.3774 0.8293 0.0742 (multiplicity 2)  1 P 1.53
O8 0.4746 0.9388 0.7828 (multiplicity 2)  1 H 1.25

Crystal system   monoclinic
Magnetization   16.0 Bohr magnetons per cell

We find (one) to be the most stable, with the next structure 5.1 kJ/mol of atoms higher.

(one)
Density functional theory data (GGA-PBEsol) for a relaxed structure of FeH2Ru.

a = 3.9412 Å, b = 3.9412 Å, c = 7.8745 Å
α = 90.00°, β = 90.00°, γ = 90.00°
Closest atoms and distances in Å follow each position.
Space group I-42d (No. 122)
One atom of each set of equivalent atoms:
Fe1 0.0000 0.0000 0.0000 (multiplicity 4)  4 H 1.65
H1 0.2262 0.2500 0.1250 (multiplicity 8)  2 Fe 1.65, 2 Ru 1.76
Ru1 0.0000 0.0000 0.5000 (multiplicity 4)  4 H 1.76

Crystal system   tetragonal
Magnetization   9.1 Bohr magnetons per cell

(two)
Density functional theory data (GGA-PBEsol) for a relaxed structure of FeH2Ru.

a = 4.9944 Å, b = 4.9944 Å, c = 4.9944 Å
α = 90.00°, β = 90.00°, γ = 90.00°
Closest atoms and distances in Å follow each position.
Space group Fm-3m (No. 225)
One atom of each set of equivalent atoms:
Fe1 0.0000 0.0000 0.0000 (multiplicity 4)  8 H 2.16
H1 0.2500 0.2500 0.2500 (multiplicity 8)  4 Fe 2.16, 4 Ru 2.16
Ru1 0.0000 0.0000 0.5000 (multiplicity 4)  8 H 2.16

Crystal system   cubic
Magnetization   12.9 Bohr magnetons per cell

We find (one) to be the most stable, with the next structure 37.0 kJ/mol of atoms higher.

(one)
Density functional theory data (GGA-PBEsol) for a relaxed structure of KFeHg2.

a = 3.0686 Å, b = 3.6025 Å, c = 8.0697 Å
α = 90.00°, β = 90.00°, γ = 90.00°
Closest atoms and distances in Å follow each position.
Space group Pmmm (No. 47)
One atom of each set of equivalent atoms:
K1 0.0000 0.0000 0.0000 (multiplicity 1)  2 K 3.07
Fe1 0.0000 0.0000 0.5000 (multiplicity 1)  8 Hg 2.80, 2 Fe 3.07
Hg1 0.5000 0.5000 0.3152 (multiplicity 2)  4 Fe 2.80, 3 Hg 2.98-3.07

Crystal system   orthorhombic
Magnetization   2.8 Bohr magnetons per cell

(two)
Density functional theory data (GGA-PBEsol) for a relaxed structure of KFeHg2.

a = 3.1521 Å, b = 4.1474 Å, c = 7.7609 Å
α = 90.00°, β = 90.00°, γ = 90.00°
Closest atoms and distances in Å follow each position.
Space group Pmm2 (No. 25)
One atom of each set of equivalent atoms:
K1 0.0000 0.0000 0.0000 (multiplicity 1)  2 K 3.15, 5 Hg 3.29-3.45
Fe1 0.5000 0.5000 0.3653 (multiplicity 1)  5 Hg 2.64-2.67
Hg1 0.0000 0.0000 0.4236 (multiplicity 1)  4 Fe 2.64
Hg2 0.5000 0.5000 0.7090 (multiplicity 1)  1 Fe 2.67

Crystal system   orthorhombic
Magnetization   2.7 Bohr magnetons per cell

We find (one) to be the most stable, with the next structure 10.3 kJ/mol of atoms higher.

(one)
Density functional theory data (GGA-PBEsol) for a relaxed structure of Sr2FeHg.

a = 4.4784 Å, b = 4.4784 Å, c = 23.2734 Å
α = 90.00°, β = 90.00°, γ = 120.00°
Closest atoms and distances in Å follow each position.
Space group R3m (No. 160, hexagonal axes)
One atom of each set of equivalent atoms:
Sr1 0.0000 0.0000 0.0000 (multiplicity 3)  3 Hg 3.31, 3 Fe 3.31
Sr2 0.0000 0.0000 0.1773 (multiplicity 3)  3 Fe 3.30, 3 Hg 3.31
Fe1 0.0000 0.0000 0.7557 (multiplicity 3)  3 Hg 2.59
Hg1 0.0000 0.0000 0.4218 (multiplicity 3)  3 Fe 2.59

Crystal system   trigonal
Magnetization   6.7 Bohr magnetons per cell

(two)
Density functional theory data (GGA-PBEsol) for a relaxed structure of Sr2FeHg.

a = 7.3757 Å, b = 7.3757 Å, c = 7.3757 Å
α = 90.00°, β = 90.00°, γ = 90.00°
Closest atoms and distances in Å follow each position.
Space group F-43m (No. 216)
One atom of each set of equivalent atoms:
Sr1 0.0000 0.0000 0.0000 (multiplicity 4)  4 Fe 3.19, 4 Sr 3.19
Sr2 0.2500 0.2500 0.2500 (multiplicity 4)  4 Hg 3.19, 4 Sr 3.19
Fe1 0.2500 0.2500 0.7500 (multiplicity 4)  4 Hg 3.19, 4 Sr 3.19
Hg1 0.0000 0.0000 0.5000 (multiplicity 4)  4 Fe 3.19, 4 Sr 3.19

Crystal system   cubic
Magnetization   12.4 Bohr magnetons per cell

We find (one) to be the most stable, with the next structure 27.2 kJ/mol of atoms higher.